Entry 1:
First-principles (GGA-PBE) data for LiIn2Hg after structural relaxation, as listed in Alexandria via LeMat-Bulk.

a = 6.092 Å, b = 9.296 Å, c = 3.286 Å
α = 90.00°, β = 90.00°, γ = 90.00°
Space group Cmmm (No. 65)
Asymmetric unit:
Li 0.000 0.000 0.000 (multiplicity 2)
In 0.250 0.250 0.500 (multiplicity 4)
Hg 0.000 0.500 0.000 (multiplicity 2)

For the formation energy, the calculation gives -105 meV/atom. The total energy comes out at -2.03 eV per atom.

=====

Entry 2:
First-principles (GGA-PBE) data for Pr2Mg3Ag4 after structural relaxation, as listed in Alexandria via LeMat-Bulk.

a = 6.149 Å, b = 16.833 Å, c = 8.090 Å
α = 90.00°, β = 90.00°, γ = 90.00°
Space group Cmce (No. 64)
Asymmetric unit:
Pr 0.000 0.106 0.093 (multiplicity 8)
Mg 0.000 0.000 0.500 (multiplicity 4)
Mg 0.250 0.228 0.750 (multiplicity 8)
Ag 0.000 0.174 0.475 (multiplicity 8)
Ag 0.250 0.061 0.750 (multiplicity 8)

For the formation energy, the calculation gives -214 meV/atom. The total energy comes out at -3.08 eV per atom.